A geometry-optimized NaTlCd2 structure. Source: Alexandria via LeMat-Bulk, functional PBE-GGA.

Lattice parameters (Å, degrees): 5.2777 5.2777 5.2777 60.00 60.00 60.00
Last column: nearest neighbours and their distance in Å.
Sites, in units of the cell vectors:
Na  0.0000  0.0000  0.0000  8 Cd 3.23
Tl  0.5000  0.5000  0.5000  8 Cd 3.23
Cd  0.2500  0.2500  0.2500  4 Tl 3.23, 4 Na 3.23
Cd  0.7500  0.7500  0.7500  4 Tl 3.23, 4 Na 3.23

N(E_F)   0.3541 states/eV/atom
ΔH_f (0 K)   -0.05 eV/atom
Space-group type   Fm-3m